The following is a DFT calculation (PBE with a Hubbard U) of a geometry-optimized CrOF2 structure.

Cell lengths 3.7334, 3.7334, 3.7334 Å; angles 60.00, 60.00, 60.00 degrees
Each line ends with the local moment (μB).
Fractional positions:
Cr 0.5000 0.5000 0.5000  0.96
O 0.0000 0.0000 0.0000  -0.66
F 0.2500 0.2500 0.2500  -0.04
F 0.7500 0.7500 0.7500  -0.04

## Properties
E = -4.2512 eV per atom
Size of the total moment = 0.104 μB/f.u.